# LaZn8P6 PBE-GGA optimized geometry
data_LaZn8P6
_chemical_formula_sum 'La2 Zn16 P12'
_symmetry_space_group_name_H-M 'P 63 c m'
_symmetry_Int_Tables_number 185
_symmetry_space_group_name_Hall 'P 6c -2'
_cell_length_a 7.3608
_cell_length_b 7.3608
_cell_length_c 13.0478
_cell_angle_alpha 90.00
_cell_angle_beta 90.00
_cell_angle_gamma 120.00
loop_
_atom_site_label
_atom_site_type_symbol
_atom_site_fract_x
_atom_site_fract_y
_atom_site_fract_z
La1 La 0.0000 0.0000 0.0000
Zn1 Zn 0.0000 0.3091 0.2984
Zn2 Zn 0.0000 0.3960 0.6588
Zn3 Zn 0.3333 0.6667 0.4320
P1 P 0.0000 0.0000 0.2347
P2 P 0.0000 0.3854 0.4786
P3 P 0.3333 0.6667 0.2370
# Total DFT energy (no corrections) = -0.12536 Ha/atom
# Size of the total moment = 0.00 μB/atom
# ΔH_f (0 K) = -0.2393 eV/atom